# 1
5
Lattice="4.6633 0.0000 0.0000 0.0000 4.6633 0.0000 0.0000 0.0000 4.6633" Properties=species:S:1:pos:R:3 comment="HfMn3Cd (PBEsol, optimized geometry)" crystal_system=cubic spacegroup="Pm-3m (221)" e_tot_ev_per_atom=-6.758 formation_enthalpy_0k_ev_per_atom=1.4387 pbc="T T T"
Hf 0.0000 0.0000 0.0000
Mn 0.0000 0.0000 2.3316
Mn 0.0000 2.3316 0.0000
Mn 2.3316 0.0000 0.0000
Cd 2.3316 2.3316 2.3316

***

# 2
5
Lattice="4.7321 0.0000 0.0000 0.0000 4.7321 0.0000 0.0000 0.0000 4.7321" Properties=species:S:1:pos:R:3 comment="Hf3MnCd (PBEsol, optimized geometry)" crystal_system=cubic spacegroup="Pm-3m (221)" e_tot_ev_per_atom=-8.120 formation_enthalpy_0k_ev_per_atom=0.3733 pbc="T T T"
Hf 0.0000 0.0000 2.3660
Hf 0.0000 2.3660 0.0000
Hf 2.3660 0.0000 0.0000
Mn 0.0000 0.0000 0.0000
Cd 2.3660 2.3660 2.3660

***

# 3
5
Lattice="4.3976 0.0000 0.0000 0.0000 4.3976 0.0000 0.0000 0.0000 4.3976" Properties=species:S:1:pos:R:3 comment="Hf3CdN (PBEsol, optimized geometry)" crystal_system=cubic e_form_raw_ev_per_atom=-0.843 spacegroup="Pm-3m (221)" e_tot_ev_per_atom=-9.090 pbc="T T T"
Hf 0.0000 0.0000 2.1988
Hf 0.0000 2.1988 0.0000
Hf 2.1988 0.0000 0.0000
Cd 2.1988 2.1988 2.1988
N 0.0000 0.0000 0.0000

***

# 4
5
Lattice="3.9702 0.0000 0.0000 0.0000 3.9702 0.0000 0.0000 0.0000 4.0897" Properties=species:S:1:pos:R:3 comment="HfCdNO2 (PBEsol, optimized geometry)" crystal_system=tetragonal e_form_raw_ev_per_atom=0.059 spacegroup="P4/mmm (123)" e_tot_ev_per_atom=-6.086 pbc="T T T"
Hf 0.0000 0.0000 0.0000
Cd 1.9851 1.9851 2.0448
N 1.9851 1.9851 0.0000
O 0.0000 1.9851 2.0448
O 1.9851 0.0000 2.0448

***

# 5
5
Lattice="4.8815 0.0000 0.0000 0.0000 4.8815 0.0000 0.0000 0.0000 4.8815" Properties=species:S:1:pos:R:3 comment="NaHf3Cd (PBEsol, optimized geometry)" crystal_system=cubic spacegroup="Pm-3m (221)" e_tot_ev_per_atom=-5.269 formation_enthalpy_0k_ev_per_atom=1.5526 pbc="T T T"
Na 0.0000 0.0000 0.0000
Hf 0.0000 0.0000 2.4408
Hf 0.0000 2.4408 0.0000
Hf 2.4408 0.0000 0.0000
Cd 2.4408 2.4408 2.4408

***

# 6
5
Lattice="4.5289 0.0000 0.0000 0.0000 4.5289 0.0000 0.0000 0.0000 5.3747" Properties=species:S:1:pos:R:3 comment="NaHfCdNi2 (PBEsol, optimized geometry)" crystal_system=tetragonal spacegroup="P4/mmm (123)" e_tot_ev_per_atom=-3.932 formation_enthalpy_0k_ev_per_atom=1.1507 pbc="T T T"
Na 0.0000 0.0000 0.0000
Hf 0.0000 0.0000 2.6873
Cd 2.2644 2.2644 0.0000
Ni 0.0000 2.2644 2.6873
Ni 2.2644 0.0000 2.6873

***

# 7
5
Lattice="4.8505 0.0000 0.0000 0.0000 4.8505 0.0000 0.0000 0.0000 4.8505" Properties=species:S:1:pos:R:3 comment="HfNb3Cd (PBEsol, optimized geometry)" crystal_system=cubic spacegroup="Pm-3m (221)" e_tot_ev_per_atom=-7.291 formation_enthalpy_0k_ev_per_atom=1.5423 pbc="T T T"
Hf 0.0000 0.0000 0.0000
Nb 0.0000 0.0000 2.4253
Nb 0.0000 2.4253 0.0000
Nb 2.4253 0.0000 0.0000
Cd 2.4253 2.4253 2.4253

***

# 8
5
Lattice="4.9714 0.0000 0.0000 0.0000 4.9714 0.0000 0.0000 0.0000 5.1555" Properties=species:S:1:pos:R:3 comment="HfSc2NbCd (PBEsol, optimized geometry)" crystal_system=tetragonal spacegroup="P4/mmm (123)" e_tot_ev_per_atom=-6.006 formation_enthalpy_0k_ev_per_atom=1.1408 pbc="T T T"
Hf 0.0000 0.0000 0.0000
Sc 0.0000 2.4857 2.5778
Sc 2.4857 0.0000 2.5778
Nb 2.4857 2.4857 0.0000
Cd 2.4857 2.4857 2.5778